VASP calculation (PBE-GGA) on a relaxed PmDyY2S6 crystal.

- Raw formation energy: -2.0534 eV per atom

Unit cell a=7.3929 b=7.3929 c=7.3929 alpha=56.29 beta=56.29 gamma=56.29
Atoms (fractional coordinates):
Pm1 0.0000 0.0000 0.0000
Dy1 0.4963 0.4963 0.4963
Y1 0.2945 0.2945 0.2945
Y2 0.7968 0.7968 0.7968
S1 0.0932 0.6850 0.4081
S2 0.1971 0.5908 0.8963
S3 0.4081 0.0932 0.6850
S4 0.5908 0.8963 0.1971
S5 0.6850 0.4081 0.0932
S6 0.8963 0.1971 0.5908

***

VASP calculation (PBE-GGA) on a relaxed PmDy2Y3S6 crystal.

- Raw formation energy: -2.0044 eV per atom

Unit cell a=6.8189 b=6.8189 c=6.8105 alpha=99.57 beta=99.57 gamma=120.19
Atoms (fractional coordinates):
Pm1 0.0000 0.0000 0.0000
Dy1 0.3339 0.6661 0.0000
Dy2 0.6661 0.3339 0.0000
Y1 0.1631 0.8369 0.5000
Y2 0.5000 0.5000 0.5000
Y3 0.8369 0.1631 0.5000
S1 0.0844 0.4251 0.2535
S2 0.2567 0.2567 0.7488
S3 0.4251 0.0844 0.2535
S4 0.5749 0.9156 0.7465
S5 0.7433 0.7433 0.2512
S6 0.9156 0.5749 0.7465

***

VASP calculation (PBE-GGA) on a relaxed PmDy3Y4S8 crystal.

- Raw formation energy: -1.9937 eV per atom

Unit cell a=7.8575 b=7.8575 c=7.8575 alpha=60.02 beta=60.02 gamma=60.02
Atoms (fractional coordinates):
Pm1 0.0000 0.0000 0.0000
Dy1 0.0000 0.5000 0.5000
Dy2 0.5000 0.0000 0.5000
Dy3 0.5000 0.5000 0.0000
Y1 0.0000 0.0000 0.5000
Y2 0.0000 0.5000 0.0000
Y3 0.5000 0.0000 0.0000
Y4 0.5000 0.5000 0.5000
S1 0.2504 0.2504 0.2504
S2 0.2538 0.2538 0.7453
S3 0.2538 0.7453 0.2538
S4 0.2547 0.7462 0.7462
S5 0.7453 0.2538 0.2538
S6 0.7462 0.2547 0.7462
S7 0.7462 0.7462 0.2547
S8 0.7496 0.7496 0.7496

***

VASP calculation (PBE-GGA) on a relaxed PmDy2YS6 crystal.

- Raw formation energy: -2.0527 eV per atom

Unit cell a=7.3887 b=7.3887 c=7.3887 alpha=56.30 beta=56.30 gamma=56.30
Atoms (fractional coordinates):
Pm1 0.0000 0.0000 0.0000
Dy1 0.2942 0.2942 0.2942
Dy2 0.7966 0.7966 0.7966
Y1 0.4961 0.4961 0.4961
S1 0.0919 0.6839 0.4089
S2 0.1957 0.5902 0.8974
S3 0.4089 0.0919 0.6839
S4 0.5902 0.8974 0.1957
S5 0.6839 0.4089 0.0919
S6 0.8974 0.1957 0.5902

***

VASP calculation (PBE-GGA) on a relaxed Pm4Dy3YS8 crystal.

- Raw formation energy: -2.0141 eV per atom

Unit cell a=7.9820 b=7.9820 c=7.9820 alpha=59.37 beta=59.37 gamma=59.37
Atoms (fractional coordinates):
Pm1 0.0000 0.0000 0.0000
Pm2 0.0000 0.5000 0.5000
Pm3 0.5000 0.0000 0.5000
Pm4 0.5000 0.5000 0.0000
Dy1 0.0000 0.0000 0.5000
Dy2 0.0000 0.5000 0.0000
Dy3 0.5000 0.0000 0.0000
Y1 0.5000 0.5000 0.5000
S1 0.2452 0.7460 0.7460
S2 0.2456 0.2456 0.2456
S3 0.2540 0.2540 0.7548
S4 0.2540 0.7548 0.2540
S5 0.7460 0.2452 0.7460
S6 0.7460 0.7460 0.2452
S7 0.7544 0.7544 0.7544
S8 0.7548 0.2540 0.2540

***

VASP calculation (PBE-GGA) on a relaxed PmDy3Y2S6 crystal.

- Raw formation energy: -2.0041 eV per atom

Unit cell a=6.8131 b=6.8131 c=6.8100 alpha=99.56 beta=99.56 gamma=120.19
Atoms (fractional coordinates):
Pm1 0.0000 0.0000 0.0000
Dy1 0.1636 0.8364 0.5000
Dy2 0.5000 0.5000 0.5000
Dy3 0.8364 0.1636 0.5000
Y1 0.3338 0.6662 0.0000
Y2 0.6662 0.3338 0.0000
S1 0.0851 0.4250 0.2554
S2 0.2552 0.2552 0.7468
S3 0.4250 0.0851 0.2554
S4 0.5750 0.9149 0.7446
S5 0.7448 0.7448 0.2532
S6 0.9149 0.5750 0.7446

***

VASP calculation (PBE-GGA) on a relaxed Pm3Dy2YS6 crystal.

- Raw formation energy: -2.0207 eV per atom

Unit cell a=6.8607 b=6.8607 c=6.9177 alpha=99.49 beta=99.49 gamma=120.17
Atoms (fractional coordinates):
Pm1 0.0000 0.0000 0.0000
Pm2 0.3337 0.6663 0.0000
Pm3 0.6663 0.3337 0.0000
Dy1 0.1666 0.8334 0.5000
Dy2 0.8334 0.1666 0.5000
Y1 0.5000 0.5000 0.5000
S1 0.0867 0.4207 0.2617
S2 0.2453 0.2453 0.7380
S3 0.4207 0.0867 0.2617
S4 0.5793 0.9133 0.7383
S5 0.7547 0.7547 0.2620
S6 0.9133 0.5793 0.7383

***

VASP calculation (PBE-GGA) on a relaxed Pm3DyY4S8 crystal.

- Raw formation energy: -2.0060 eV per atom

Unit cell a=7.9385 b=7.9385 c=7.9385 alpha=59.76 beta=59.76 gamma=59.76
Atoms (fractional coordinates):
Pm1 0.0000 0.5000 0.5000
Pm2 0.5000 0.0000 0.5000
Pm3 0.5000 0.5000 0.0000
Dy1 0.0000 0.0000 0.0000
Y1 0.0000 0.0000 0.5000
Y2 0.0000 0.5000 0.0000
Y3 0.5000 0.0000 0.0000
Y4 0.5000 0.5000 0.5000
S1 0.2418 0.7505 0.7505
S2 0.2461 0.2461 0.2461
S3 0.2495 0.2495 0.7582
S4 0.2495 0.7582 0.2495
S5 0.7505 0.2418 0.7505
S6 0.7505 0.7505 0.2418
S7 0.7539 0.7539 0.7539
S8 0.7582 0.2495 0.2495

***

VASP calculation (PBE-GGA) on a relaxed Pm4DyY3S8 crystal.

- Raw formation energy: -2.0147 eV per atom

Unit cell a=7.9847 b=7.9847 c=7.9847 alpha=59.44 beta=59.44 gamma=59.44
Atoms (fractional coordinates):
Pm1 0.0000 0.0000 0.0000
Pm2 0.0000 0.5000 0.5000
Pm3 0.5000 0.0000 0.5000
Pm4 0.5000 0.5000 0.0000
Dy1 0.5000 0.5000 0.5000
Y1 0.0000 0.0000 0.5000
Y2 0.0000 0.5000 0.0000
Y3 0.5000 0.0000 0.0000
S1 0.2460 0.2460 0.2460
S2 0.2465 0.7456 0.7456
S3 0.2544 0.2544 0.7535
S4 0.2544 0.7535 0.2544
S5 0.7456 0.2465 0.7456
S6 0.7456 0.7456 0.2465
S7 0.7535 0.2544 0.2544
S8 0.7540 0.7540 0.7540

***

VASP calculation (PBE-GGA) on a relaxed Pm2DyYS4 crystal.

- Raw formation energy: -2.0164 eV per atom

Unit cell a=6.8533 b=3.9272 c=6.9661 alpha=90.00 beta=108.91 gamma=90.00
Atoms (fractional coordinates):
Pm1 0.0000 0.0000 0.0000
Pm2 0.5000 0.5000 0.0000
Dy1 0.0000 0.5000 0.5000
Y1 0.5000 0.0000 0.5000
S1 0.2452 0.0000 0.7377
S2 0.2536 0.5000 0.2620
S3 0.7464 0.5000 0.7380
S4 0.7548 0.0000 0.2623

***

VASP calculation (PBE-GGA) on a relaxed Pm2DyZnS5 crystal.

- Raw formation energy: -1.7437 eV per atom

Unit cell a=8.6660 b=8.6660 c=11.9321 alpha=90.00 beta=90.00 gamma=154.30
Atoms (fractional coordinates):
Pm1 0.1145 0.8855 0.5000
Pm2 0.1319 0.8681 0.1355
Pm3 0.8681 0.1319 0.6355
Pm4 0.8855 0.1145 0.0000
Dy1 0.1971 0.8029 0.8320
Dy2 0.8029 0.1971 0.3320
Zn1 0.4549 0.5451 0.2619
Zn2 0.5451 0.4549 0.7619
S1 0.0385 0.9615 0.8680
S2 0.2908 0.7092 0.4928
S3 0.3173 0.6827 0.1699
S4 0.3563 0.6437 0.8206
S5 0.4926 0.5074 0.5870
S6 0.5074 0.4926 0.0870
S7 0.6437 0.3563 0.3206
S8 0.6827 0.3173 0.6699
S9 0.7092 0.2908 0.9928
S10 0.9615 0.0385 0.3680

***

VASP calculation (PBE-GGA) on a relaxed PmDySb2 crystal.

- Relative energy among the computed polymorphs: 323.7 meV/atom
- Raw formation energy: -0.8341 eV per atom

Unit cell a=5.4261 b=5.4261 c=5.4261 alpha=60.00 beta=60.00 gamma=60.00
Atoms (fractional coordinates):
Pm1 0.0000 0.0000 0.0000
Dy1 0.5000 0.5000 0.5000
Sb1 0.2500 0.2500 0.2500
Sb2 0.7500 0.7500 0.7500